No. 1
Ac2DyReO8: relaxed, PBE.

Lattice parameters (Å, degrees): 7.4788 7.6615 7.0682 90.00 90.04 90.00
Last column: nearest neighbours and their distance in Å.
Space group C2/m (No. 12)
Unique sites:
Ac 0.0016 0.0000 0.2552 (multiplicity 4)  6 O 2.37-2.56
Dy 0.0000 0.5000 0.0000 (multiplicity 2)  6 O 2.20-2.46
Re 0.0000 0.5000 0.5000 (multiplicity 2)  6 O 1.88-1.93
O 0.0012 0.3315 0.7031 (multiplicity 8)  1 Re 1.93
O 0.2057 0.0000 0.9990 (multiplicity 4)  1 Dy 2.20, 2 Ac 2.37
O 0.2491 0.0000 0.5016 (multiplicity 4)  1 Re 1.88

Results
For the uncorrected formation energy, the calculation gives -2.66 eV per atom. The value obtained for the total energy is -8.072 eV/atom. The calculation puts the total magnetization at 0.00 Bohr magnetons per cell. The density is 7.6 Mg/m³.



No. 2
BeHgNF2: relaxed, PBE.

Lattice parameters (Å, degrees): 3.2624 3.2624 5.6425 90.00 90.00 90.00
Last column: nearest neighbours and their distance in Å.
Space group P4/mmm (No. 123)
Unique sites:
Be 0.0000 0.0000 0.0000 (multiplicity 1)  4 F 1.63
Hg 0.5000 0.5000 0.5000 (multiplicity 1)  4 N 2.31
N 0.0000 0.0000 0.5000 (multiplicity 1)  4 Hg 2.31
F 0.0000 0.5000 0.0000 (multiplicity 2)  2 Be 1.63

Results
For the uncorrected formation energy, the calculation gives -0.98 eV per atom. The value obtained for the total energy is -4.196 eV/atom. The calculation puts the total magnetization at 0.35 Bohr magnetons per cell. The calculation puts the excess energy over the best structure of this formula in the dataset at 0.000 eV per atom. The density is 7.2 Mg/m³.



No. 3
Zn3CdAu12: relaxed, PBE.

Lattice parameters (Å, degrees): 4.1225 4.1225 16.5377 90.00 90.00 90.00
Last column: nearest neighbours and their distance in Å.
Space group P4/mmm (No. 123)
Unique sites:
Zn 0.0000 0.0000 0.0000 (multiplicity 1)  12 Au 2.89-2.92
Zn 0.0000 0.0000 0.2472 (multiplicity 2)  12 Au 2.87-2.92
Cd 0.0000 0.0000 0.5000 (multiplicity 1)  12 Au 2.92-3.00
Au 0.0000 0.5000 0.1226 (multiplicity 4)  8 Au 2.89-2.92, 4 Zn 2.89-2.91
Au 0.0000 0.5000 0.3683 (multiplicity 4)  2 Zn 2.87, 8 Au 2.90-3.00, 2 Cd 3.00
Au 0.5000 0.5000 0.0000 (multiplicity 1)  8 Au 2.89, 4 Zn 2.92
Au 0.5000 0.5000 0.2449 (multiplicity 2)  8 Au 2.89-2.90, 4 Zn 2.92
Au 0.5000 0.5000 0.5000 (multiplicity 1)  4 Cd 2.92, 8 Au 3.00

Results
The value obtained for the total energy is -2.866 eV/atom. The calculation puts the total magnetization at 0.00 Bohr magnetons per cell. The density is 15.8 Mg/m³. The calculation puts the energy of formation from the pure elements at -0.11 eV/atom.



No. 4
Sm2TlCu: relaxed, PBE.

Lattice parameters (Å, degrees): 3.6257 3.6257 7.8060 90.00 90.00 90.00
Last column: nearest neighbours and their distance in Å.
Space group P4/mmm (No. 123)
Unique sites:
Sm 0.0000 0.0000 0.2214 (multiplicity 2)  4 Cu 3.09, 4 Tl 3.36, 1 Sm 3.46
Tl 0.5000 0.5000 0.5000 (multiplicity 1)  8 Sm 3.36, 4 Tl 3.63
Cu 0.5000 0.5000 0.0000 (multiplicity 1)  8 Sm 3.09

Results
The value obtained for the total energy is -4.239 eV/atom. The calculation puts the total magnetization at 0.16 Bohr magnetons per cell. The density is 9.2 Mg/m³. The calculation puts the energy of formation from the pure elements at -0.26 eV/atom.



No. 5
CuBiPI2: relaxed, PBE.

Lattice parameters (Å, degrees): 5.4546 5.4546 4.5564 90.00 90.00 90.00
Last column: nearest neighbours and their distance in Å.
Space group P4/mmm (No. 123)
Unique sites:
Cu 0.0000 0.0000 0.0000 (multiplicity 1)  2 P 2.28
Bi 0.5000 0.5000 0.5000 (multiplicity 1)  8 I 3.55, 4 P 3.86
P 0.0000 0.0000 0.5000 (multiplicity 1)  2 Cu 2.28
I 0.0000 0.5000 0.0000 (multiplicity 2)  2 Cu 2.73

Results
For the uncorrected formation energy, the calculation gives 0.49 eV per atom. The value obtained for the total energy is -2.807 eV/atom. The calculation puts the total magnetization at 0.00 Bohr magnetons per cell. The density is 6.8 Mg/m³.



No. 6
GdZrPa2: relaxed, PBE.

Lattice parameters (Å, degrees): 7.4654 7.4654 7.4654 90.00 90.00 90.00
Last column: nearest neighbours and their distance in Å.
Space group Fm-3m (No. 225)
Unique sites:
Gd 0.0000 0.0000 0.0000 (multiplicity 4)  8 Pa 3.23
Zr 0.0000 0.0000 0.5000 (multiplicity 4)  8 Pa 3.23
Pa 0.2500 0.2500 0.2500 (multiplicity 8)  4 Gd 3.23, 4 Zr 3.23

Results
The value obtained for the total energy is -9.993 eV/atom. The calculation puts the total magnetization at 28.44 Bohr magnetons per cell. The calculation puts the excess energy over the best structure of this formula in the dataset at 0.192 eV per atom. The density is 11.3 Mg/m³. The calculation puts the energy of formation from the pure elements at 0.41 eV/atom.